Record 1
A plane-wave DFT calculation with PBE was carried out for crystalline Rb2CoIr at its relaxed geometry.

Calculated values
The value obtained for the density is 5.38 g/cm³. The total energy comes out at -2.804 eV/atom.

Cell: 5.689 5.689 5.689 Å, 60.00 60.00 60.00°
Sites, in units of the cell vectors:
1 Rb 0.250 0.250 0.250
2 Rb 0.750 0.750 0.750
3 Co 0.000 0.000 0.000
4 Ir 0.500 0.500 0.500


Record 2
A plane-wave DFT calculation with PBE was carried out for crystalline MgCuGe at its relaxed geometry.

Calculated values
The value obtained for the density is 5.17 g/cm³. The total energy comes out at -3.367 eV/atom.

Cell: 4.013 4.013 6.398 Å, 90.00 90.00 90.00°
Sites, in units of the cell vectors:
1 Mg 0.250 0.750 0.000
2 Mg 0.750 0.250 0.000
3 Cu 0.250 0.250 0.299
4 Cu 0.750 0.750 0.701
5 Ge 0.250 0.250 0.676
6 Ge 0.750 0.750 0.324


Record 3
A plane-wave DFT calculation with PBE was carried out for crystalline Mg2Ag5Hg2 at its relaxed geometry.

Calculated values
The value obtained for the density is 9.22 g/cm³. The total energy comes out at -2.045 eV/atom.

Cell: 3.014 7.204 8.387 Å, 83.73 79.66 89.23°
Sites, in units of the cell vectors:
1 Mg 0.095 0.317 0.303
2 Mg 0.905 0.683 0.697
3 Ag 0.218 0.649 0.058
4 Ag 0.447 0.355 0.627
5 Ag 0.500 0.000 0.500
6 Ag 0.553 0.645 0.373
7 Ag 0.782 0.351 0.942
8 Hg 0.322 0.003 0.837
9 Hg 0.678 0.997 0.163


Record 4
A plane-wave DFT calculation with PBE was carried out for crystalline Cs5RbAu3 at its relaxed geometry.

Calculated values
The value obtained for the density is 3.77 g/cm³. The total energy comes out at -1.877 eV/atom.

Cell: 10.138 10.138 13.291 Å, 110.73 110.73 75.02°
Sites, in units of the cell vectors:
1 Cs 0.065 0.065 0.363
2 Cs 0.129 0.534 0.338
3 Cs 0.206 0.794 0.000
4 Cs 0.268 0.268 0.968
5 Cs 0.466 0.871 0.662
6 Cs 0.534 0.129 0.338
7 Cs 0.732 0.732 0.032
8 Cs 0.794 0.206 0.000
9 Cs 0.871 0.466 0.662
10 Cs 0.935 0.935 0.637
11 Rb 0.406 0.406 0.700
12 Rb 0.594 0.594 0.300
13 Au 0.165 0.165 0.165
14 Au 0.172 0.172 0.666
15 Au 0.500 0.500 0.000
16 Au 0.500 0.500 0.500
17 Au 0.828 0.828 0.334
18 Au 0.835 0.835 0.835


Record 5
A plane-wave DFT calculation with PBE was carried out for crystalline LaTb4Ho2Tm at its relaxed geometry.

Calculated values
The value obtained for the density is 8.25 g/cm³. The total energy comes out at -4.615 eV/atom.

Cell: 7.121 7.121 12.350 Å, 106.67 106.67 60.20°
Sites, in units of the cell vectors:
1 La 0.000 0.500 0.000
2 La 0.500 0.000 0.000
3 Tb 0.248 0.248 0.745
4 Tb 0.248 0.749 0.748
5 Tb 0.251 0.752 0.252
6 Tb 0.252 0.252 0.254
7 Tb 0.748 0.748 0.746
8 Tb 0.749 0.248 0.748
9 Tb 0.752 0.251 0.252
10 Tb 0.752 0.752 0.255
11 Ho 0.000 0.500 0.500
12 Ho 0.500 0.000 0.500
13 Ho 0.500 0.500 0.000
14 Ho 0.500 0.500 0.500
15 Tm 0.000 0.000 0.000
16 Tm 0.000 0.000 0.500


Record 6
A plane-wave DFT calculation with PBE was carried out for crystalline TlHgBi2Pb4 at its relaxed geometry.

Calculated values
The value obtained for the density is 11.03 g/cm³. The total energy comes out at -3.150 eV/atom.

Cell: 4.901 5.392 9.409 Å, 90.00 90.34 90.00°
Sites, in units of the cell vectors:
1 Tl 0.000 0.000 0.000
2 Hg 0.500 0.500 0.500
3 Bi 0.000 0.000 0.500
4 Bi 0.500 0.500 0.000
5 Pb 0.002 0.500 0.265
6 Pb 0.499 0.000 0.249
7 Pb 0.501 0.000 0.751
8 Pb 0.998 0.500 0.735


Record 7
A plane-wave DFT calculation with PBE was carried out for crystalline Sm2Co5P4 at its relaxed geometry.

Calculated values
The value obtained for the density is 7.53 g/cm³. The total energy comes out at -6.869 eV/atom.

Cell: 7.987 6.948 5.394 Å, 79.56 58.82 41.62°
Sites, in units of the cell vectors:
1 Sm 0.139 0.139 0.861
2 Sm 0.861 0.861 0.139
3 Co 0.000 0.000 0.500
4 Co 0.250 0.250 0.250
5 Co 0.500 0.500 0.000
6 Co 0.500 0.500 0.500
7 Co 0.750 0.750 0.750
8 P 0.214 0.529 0.471
9 P 0.471 0.786 0.214
10 P 0.529 0.214 0.786
11 P 0.786 0.471 0.529


Record 8
A plane-wave DFT calculation with PBE was carried out for crystalline MgGa3Mo at its relaxed geometry.

Calculated values
The value obtained for the density is 6.20 g/cm³. The total energy comes out at -4.252 eV/atom.

Cell: 7.319 7.319 6.593 Å, 90.00 90.00 89.15°
Sites, in units of the cell vectors:
1 Mg 0.090 0.410 0.250
2 Mg 0.410 0.090 0.750
3 Mg 0.590 0.910 0.250
4 Mg 0.910 0.590 0.750
5 Ga 0.039 0.257 0.612
6 Ga 0.050 0.950 0.822
7 Ga 0.243 0.461 0.888
8 Ga 0.257 0.039 0.388
9 Ga 0.450 0.550 0.322
10 Ga 0.461 0.243 0.112
11 Ga 0.539 0.757 0.888
12 Ga 0.550 0.450 0.678
13 Ga 0.743 0.961 0.612
14 Ga 0.757 0.539 0.112
15 Ga 0.950 0.050 0.178
16 Ga 0.961 0.743 0.388
17 Mo 0.219 0.781 0.114
18 Mo 0.281 0.719 0.614
19 Mo 0.719 0.281 0.386
20 Mo 0.781 0.219 0.886


Record 9
A plane-wave DFT calculation with PBE was carried out for crystalline KLa2Pd2 at its relaxed geometry.

Calculated values
The value obtained for the density is 4.84 g/cm³. The total energy comes out at -4.497 eV/atom.

Cell: 7.258 7.258 7.258 Å, 136.04 136.04 63.92°
Sites, in units of the cell vectors:
1 K 0.000 0.000 0.000
2 La 0.329 0.329 0.000
3 La 0.671 0.671 0.000
4 Pd 0.250 0.750 0.500
5 Pd 0.750 0.250 0.500


Record 10
A plane-wave DFT calculation with PBE was carried out for crystalline BeRe2Pb at its relaxed geometry.

Calculated values
The value obtained for the density is 13.86 g/cm³. The total energy comes out at -7.394 eV/atom.

Cell: 4.598 4.598 5.001 Å, 96.24 96.24 42.17°
Sites, in units of the cell vectors:
1 Be 0.000 0.000 0.000
2 Re 0.254 0.254 0.827
3 Re 0.746 0.746 0.173
4 Pb 0.500 0.500 0.500


Record 11
A plane-wave DFT calculation with PBE was carried out for crystalline K5Cd6In at its relaxed geometry.

Calculated values
The value obtained for the density is 3.66 g/cm³. The total energy comes out at -1.094 eV/atom.

Cell: 6.899 6.899 11.110 Å, 95.79 95.79 120.46°
Sites, in units of the cell vectors:
1 K 0.000 0.000 0.000
2 K 0.166 0.834 0.500
3 K 0.320 0.680 0.000
4 K 0.680 0.320 0.000
5 K 0.834 0.166 0.500
6 Cd 0.153 0.421 0.265
7 Cd 0.303 0.303 0.743
8 Cd 0.421 0.153 0.265
9 Cd 0.579 0.847 0.735
10 Cd 0.697 0.697 0.257
11 Cd 0.847 0.579 0.735
12 In 0.500 0.500 0.500


Record 12
A plane-wave DFT calculation with PBE was carried out for crystalline Tc3HgF at its relaxed geometry.

Calculated values
The value obtained for the density is 11.04 g/cm³. The total energy comes out at -5.713 eV/atom.

Cell: 4.259 4.259 4.259 Å, 90.00 90.00 90.00°
Sites, in units of the cell vectors:
1 Tc 0.000 0.000 0.500
2 Tc 0.000 0.500 0.000
3 Tc 0.500 0.000 0.000
4 Hg 0.500 0.500 0.500
5 F 0.000 0.000 0.000